DFT (PBE) results for a relaxed structure of BaCuW2.

Geometry as POSCAR:
```
BaCuW2
1.0
3.325 0.000 0.000
0.000 4.601 0.000
-1.482 0.000 6.410
Ba Cu W
1 1 2
Cartesian
0.000 0.000 0.000
0.921 0.000 3.205
0.072 2.300 4.086
1.771 2.300 2.324
```

Results
VASP energy (eV per atom): -6.91
Formation enthalpy at 0 K (eV/atom): 1.069
Space group: P2/m